[1]
GdPdAu PBE optimized geometry; energy of formation from the pure elements = -803 meV per atom; excess energy over the best structure of this formula in the dataset = 0.000 eV/atom; crystal system = tetragonal; theoretical density = 12217 kg/m3
1.0
-1.855 1.855 4.548
1.855 -1.855 4.548
1.855 1.855 -4.548
Gd Pd Au
1 1 1
Direct
0.000 0.000 0.000
0.338 0.338 0.000
0.670 0.670 0.000

***

[2]
TbNdSm2Bi4 PBE optimized geometry; energy of formation from the pure elements = -918 meV per atom; crystal system = monoclinic; theoretical density = 8939 kg/m3
1.0
7.889 0.000 0.000
0.000 4.558 0.000
-2.630 0.000 7.438
Tb Nd Sm Bi
1 1 2 4
Direct
0.000 0.000 0.000
0.500 0.500 0.000
0.000 0.500 0.500
0.500 0.000 0.500
0.246 0.000 0.749
0.246 0.500 0.248
0.754 0.000 0.251
0.754 0.500 0.752

***

[3]
EuGa2Tc PBE optimized geometry; energy of formation from the pure elements = -2 meV per atom; excess energy over the best structure of this formula in the dataset = 0.222 eV/atom; crystal system = trigonal; theoretical density = 7660 kg/m3
1.0
1.796 1.037 7.554
-1.796 1.037 7.554
0.000 -2.074 7.554
Eu Ga Tc
1 2 1
Direct
0.000 0.000 0.000
0.232 0.232 0.232
0.768 0.768 0.768
0.500 0.500 0.500

***

[4]
TiINF2 PBE optimized geometry; excess energy over the best structure of this formula in the dataset = 0.000 eV/atom; crystal system = tetragonal; theoretical density = 5373 kg/m3
1.0
3.980 0.000 0.000
0.000 3.980 0.000
0.000 0.000 4.425
Ti I N F
1 1 1 2
Direct
0.000 0.000 0.000
0.500 0.500 0.500
0.000 0.000 0.500
0.000 0.500 0.000
0.500 0.000 0.000

***

[5]
RbYMn2 PBE optimized geometry; energy of formation from the pure elements = 1029 meV per atom; excess energy over the best structure of this formula in the dataset = 0.000 eV/atom; crystal system = cubic; theoretical density = 4330 kg/m3
1.0
0.000 3.792 3.792
3.792 0.000 3.792
3.792 3.792 0.000
Rb Y Mn
1 1 2
Direct
0.000 0.000 0.000
0.500 0.500 0.500
0.250 0.250 0.250
0.750 0.750 0.750

***

[6]
K2Ca2IrO6 PBE optimized geometry; crystal system = monoclinic; theoretical density = 4090 kg/m3; DFT total energy = -5.87 eV/atom
1.0
2.932 -4.933 0.000
2.932 4.933 0.000
-1.900 0.000 6.269
K Ca Ir O
2 2 1 6
Direct
0.168 0.832 0.000
0.832 0.168 0.000
0.336 0.664 0.500
0.664 0.336 0.500
0.000 0.000 0.500
0.053 0.343 0.676
0.222 0.222 0.322
0.343 0.053 0.676
0.657 0.947 0.324
0.778 0.778 0.678
0.947 0.657 0.324

***

[7]
CoBi3As PBE optimized geometry; energy of formation from the pure elements = 446 meV per atom; excess energy over the best structure of this formula in the dataset = 0.000 eV/atom; crystal system = cubic; theoretical density = 9531 kg/m3
1.0
5.099 0.000 0.000
0.000 5.099 0.000
0.000 0.000 5.099
Co Bi As
1 3 1
Direct
0.000 0.000 0.000
0.000 0.000 0.500
0.000 0.500 0.000
0.500 0.000 0.000
0.500 0.500 0.500

***

[8]
Tm12Ga6H PBE optimized geometry; crystal system = trigonal; theoretical density = 8658 kg/m3; DFT total energy = -4.30 eV/atom
1.0
5.661 3.268 4.227
-5.661 3.268 4.227
0.000 -6.536 4.227
Tm Ga H
12 6 1
Direct
0.042 0.696 0.922
0.078 0.958 0.304
0.195 0.542 0.419
0.304 0.078 0.958
0.419 0.195 0.542
0.458 0.581 0.805
0.542 0.419 0.195
0.581 0.805 0.458
0.696 0.922 0.042
0.805 0.458 0.581
0.922 0.042 0.696
0.958 0.304 0.078
0.144 0.356 0.748
0.252 0.856 0.644
0.356 0.748 0.144
0.644 0.252 0.856
0.748 0.144 0.356
0.856 0.644 0.252
0.500 0.500 0.500